1.
The following is a GGA-PBE calculation of crystalline Sb3Rh at its relaxed geometry, from Alexandria.

Cell: 8.1161 8.1161 8.1161 Å, 109.47 109.47 109.47°
Sites, in units of the cell vectors:
Sb1 0.1549 0.3398 0.4947
Sb2 0.1549 0.6602 0.8151
Sb3 0.1849 0.8451 0.3398
Sb4 0.3398 0.1849 0.8451
Sb5 0.3398 0.4947 0.1549
Sb6 0.4947 0.1549 0.3398
Sb7 0.5053 0.8451 0.6602
Sb8 0.6602 0.5053 0.8451
Sb9 0.6602 0.8151 0.1549
Sb10 0.8151 0.1549 0.6602
Sb11 0.8451 0.3398 0.1849
Sb12 0.8451 0.6602 0.5053
Rh1 0.0000 0.0000 0.5000
Rh2 0.0000 0.5000 0.0000
Rh3 0.5000 0.0000 0.0000
Rh4 0.5000 0.5000 0.5000

Computed properties:
formation energy without anion corrections = -404 meV/atom
energy above the most stable polymorph in this dataset = 0.0 meV per atom
SG = Im-3, No. 204
total magnetization = 0.0000 μB per atom

2.
The following is a GGA-PBE calculation of crystalline Pm6Dy8Pu at its relaxed geometry, from Alexandria.

Cell: 8.6332 8.6332 8.6332 Å, 63.50 63.50 63.50°
Sites, in units of the cell vectors:
Pm1 0.0453 0.7237 0.6077
Pm2 0.2763 0.3923 0.9547
Pm3 0.3923 0.9547 0.2763
Pm4 0.6077 0.0453 0.7237
Pm5 0.7237 0.6077 0.0453
Pm6 0.9547 0.2763 0.3923
Dy1 0.0765 0.0765 0.0765
Dy2 0.2167 0.2525 0.6112
Dy3 0.2525 0.6112 0.2167
Dy4 0.3888 0.7833 0.7475
Dy5 0.6112 0.2167 0.2525
Dy6 0.7475 0.3888 0.7833
Dy7 0.7833 0.7475 0.3888
Dy8 0.9235 0.9235 0.9235
Pu1 0.5000 0.5000 0.5000

Computed properties:
energy relative to the elements = 11.0 kJ per mole of atoms
SG = R-3, No. 148
total magnetization = 0.4285 μB per atom

3.
The following is a GGA-PBE calculation of crystalline Y6Tm8Th at its relaxed geometry, from Alexandria.

Cell: 8.5631 8.5631 8.5631 Å, 63.22 63.22 63.22°
Sites, in units of the cell vectors:
Y1 0.0377 0.7305 0.6048
Y2 0.2695 0.3952 0.9623
Y3 0.3952 0.9623 0.2695
Y4 0.6048 0.0377 0.7305
Y5 0.7305 0.6048 0.0377
Y6 0.9623 0.2695 0.3952
Tm1 0.0766 0.0766 0.0766
Tm2 0.2180 0.2509 0.6117
Tm3 0.2509 0.6117 0.2180
Tm4 0.3883 0.7820 0.7491
Tm5 0.6117 0.2180 0.2509
Tm6 0.7491 0.3883 0.7820
Tm7 0.7820 0.7491 0.3883
Tm8 0.9234 0.9234 0.9234
Th1 0.5000 0.5000 0.5000

Computed properties:
energy relative to the elements = 11.8 kJ per mole of atoms
SG = R-3, No. 148
total magnetization = 0.0000 μB per atom